1.
Entry from Alexandria via LeMat-Bulk: an optimized crystal structure of In2PtBr (GGA-PBE).

```
In2PtBr
1.0
3.720 0.000 0.000
0.000 3.720 0.000
0.000 0.000 8.017
In Pt Br
2 1 1
Direct
0.000 0.000 0.000
0.500 0.500 0.412
0.000 0.000 0.334
0.500 0.500 0.783
```

Summary:
calculated volume: 27.741 A^3/atom
uncorrected energy: -3.660 eV per atom
formation energy without anion corrections: -0.3621 eV per atom
offset from the most stable computed form: 0.058 eV/atom

2.
Entry from Alexandria via LeMat-Bulk: an optimized crystal structure of In2PtBr (GGA-PBE).

```
In2PtBr
1.0
0.000 3.609 3.609
3.609 0.000 3.609
3.609 3.609 0.000
In Pt Br
2 1 1
Direct
0.000 0.000 0.000
0.250 0.250 0.250
0.750 0.750 0.750
0.500 0.500 0.500
```

Summary:
calculated volume: 23.494 A^3/atom
uncorrected energy: -3.103 eV per atom
formation energy without anion corrections: 0.1949 eV per atom
offset from the most stable computed form: 0.615 eV/atom

3.
Entry from Alexandria via LeMat-Bulk: an optimized crystal structure of InPtBr4 (GGA-PBE).

```
InPtBr4
1.0
0.000 4.402 4.402
4.402 0.000 4.402
4.402 4.402 0.000
In Pt Br
1 1 4
Direct
0.000 0.000 0.000
0.750 0.750 0.750
0.376 0.376 0.376
0.376 0.376 0.873
0.376 0.873 0.376
0.873 0.376 0.376
```

Summary:
calculated volume: 28.425 A^3/atom
uncorrected energy: -1.755 eV per atom
formation energy without anion corrections: 0.8236 eV per atom

4.
Entry from Alexandria via LeMat-Bulk: an optimized crystal structure of In2PtBr (GGA-PBE).

```
In2PtBr
1.0
-2.015 2.015 6.349
2.015 -2.015 6.349
2.015 2.015 -6.349
In Pt Br
2 1 1
Direct
0.000 0.000 0.000
0.750 0.250 0.500
0.250 0.750 0.500
0.500 0.500 0.000
```

Summary:
calculated volume: 25.779 A^3/atom
uncorrected energy: -3.312 eV per atom
formation energy without anion corrections: -0.0145 eV per atom
offset from the most stable computed form: 0.405 eV/atom

5.
Entry from Alexandria via LeMat-Bulk: an optimized crystal structure of In2PtBr (GGA-PBE).

```
In2PtBr
1.0
2.415 -2.419 0.000
2.415 2.419 0.000
0.000 0.000 7.856
In Pt Br
2 1 1
Direct
0.000 0.000 0.207
0.000 0.000 0.793
0.500 0.500 0.000
0.500 0.500 0.500
```

Summary:
calculated volume: 22.951 A^3/atom
uncorrected energy: -3.566 eV per atom
formation energy without anion corrections: -0.2687 eV per atom
offset from the most stable computed form: 0.151 eV/atom

6.
Entry from Alexandria via LeMat-Bulk: an optimized crystal structure of InPt3Br (GGA-PBE).

```
InPt3Br
1.0
4.822 0.000 0.000
0.000 4.822 0.000
0.000 0.000 4.822
In Pt Br
1 3 1
Direct
0.000 0.000 0.000
0.000 0.500 0.500
0.500 0.000 0.500
0.500 0.500 0.000
0.500 0.500 0.500
```

Summary:
calculated volume: 22.419 A^3/atom
uncorrected energy: -3.592 eV per atom
formation energy without anion corrections: 0.9150 eV per atom
offset from the most stable computed form: 0.000 eV/atom

7.
Entry from Alexandria via LeMat-Bulk: an optimized crystal structure of In2PtBr (GGA-PBE).

```
In2PtBr
1.0
3.824 -3.809 0.000
3.824 3.809 0.000
-0.494 0.000 3.108
In Pt Br
2 1 1
Direct
0.000 0.500 0.000
0.500 0.000 0.000
0.000 0.000 0.500
0.500 0.500 0.500
```

Summary:
calculated volume: 22.637 A^3/atom
uncorrected energy: -3.457 eV per atom
formation energy without anion corrections: -0.1598 eV per atom
offset from the most stable computed form: 0.260 eV/atom

8.
Entry from Alexandria via LeMat-Bulk: an optimized crystal structure of In2PtBr (GGA-PBE).

```
In2PtBr
1.0
-3.295 3.295 6.464
3.295 -3.295 6.464
3.295 3.295 -6.464
In Pt Br
4 2 2
Direct
0.059 0.625 0.934
0.375 0.309 0.434
0.691 0.125 0.066
0.875 0.941 0.566
0.000 0.000 0.000
0.750 0.250 0.500
0.250 0.750 0.500
0.500 0.500 0.000
```

Summary:
calculated volume: 35.086 A^3/atom
uncorrected energy: -3.547 eV per atom
formation energy without anion corrections: -0.2494 eV per atom
offset from the most stable computed form: 0.171 eV/atom

9.
Entry from Alexandria via LeMat-Bulk: an optimized crystal structure of In2PtBr (GGA-PBE).

```
In2PtBr
1.0
-2.053 3.153 4.098
2.053 -3.153 4.098
2.053 3.153 -4.098
In Pt Br
2 1 1
Direct
0.213 0.213 0.000
0.787 0.787 0.000
0.000 0.500 0.500
0.500 0.000 0.500
```

Summary:
calculated volume: 26.528 A^3/atom
uncorrected energy: -3.406 eV per atom
formation energy without anion corrections: -0.1087 eV per atom
offset from the most stable computed form: 0.311 eV/atom

10.
Entry from Alexandria via LeMat-Bulk: an optimized crystal structure of Rb2InPtBr6 (GGA-PBE).

```
Rb2InPtBr6
1.0
-3.889 3.889 5.528
3.889 -3.889 5.528
3.889 3.889 -5.528
Rb In Pt Br
2 1 1 6
Direct
0.250 0.750 0.500
0.750 0.250 0.500
0.000 0.000 0.000
0.500 0.500 0.000
0.258 0.258 0.000
0.264 0.264 0.528
0.264 0.736 0.000
0.736 0.264 0.000
0.736 0.736 0.472
0.742 0.742 0.000
```

Summary:
calculated volume: 33.449 A^3/atom
uncorrected energy: -3.030 eV per atom
formation energy without anion corrections: -0.9550 eV per atom

11.
Entry from Alexandria via LeMat-Bulk: an optimized crystal structure of In2SbPtBr (GGA-PBE).

```
In2SbPtBr
1.0
5.688 0.000 0.000
0.000 5.688 0.000
0.000 0.000 5.444
In Sb Pt Br
2 1 1 1
Direct
0.000 0.500 0.000
0.500 0.000 0.000
0.000 0.000 0.500
0.500 0.500 0.500
0.000 0.000 0.000
```

Summary:
calculated volume: 35.225 A^3/atom
uncorrected energy: -2.529 eV per atom
formation energy without anion corrections: 0.9331 eV per atom

12.
Entry from Alexandria via LeMat-Bulk: an optimized crystal structure of InPtSe2Br (GGA-PBE).

```
InPtSe2Br
1.0
5.007 0.000 0.000
0.000 5.007 0.000
0.000 0.000 5.330
In Pt Se Br
1 1 2 1
Direct
0.000 0.000 0.000
0.500 0.500 0.500
0.000 0.500 0.500
0.500 0.000 0.500
0.500 0.500 0.000
```

Summary:
calculated volume: 26.725 A^3/atom
uncorrected energy: -3.426 eV per atom
formation energy without anion corrections: 0.0584 eV per atom
offset from the most stable computed form: 0.000 eV/atom

13.
Entry from Alexandria via LeMat-Bulk: an optimized crystal structure of YInPt2Br (GGA-PBE).

```
YInPt2Br
1.0
4.953 0.000 0.000
0.000 4.953 0.000
0.000 0.000 5.889
Y In Pt Br
1 1 2 1
Direct
0.000 0.000 0.000
0.000 0.000 0.500
0.000 0.500 0.500
0.500 0.000 0.500
0.500 0.500 0.000
```

Summary:
calculated volume: 28.895 A^3/atom
uncorrected energy: -4.240 eV per atom
formation energy without anion corrections: 0.3515 eV per atom

14.
Entry from Alexandria via LeMat-Bulk: an optimized crystal structure of ZnIn2PtBr (GGA-PBE).

```
ZnIn2PtBr
1.0
5.251 0.000 0.000
0.000 5.251 0.000
0.000 0.000 4.933
Zn In Pt Br
1 2 1 1
Direct
0.000 0.000 0.000
0.000 0.500 0.500
0.500 0.000 0.500
0.000 0.000 0.500
0.500 0.500 0.000
```

Summary:
calculated volume: 27.200 A^3/atom
uncorrected energy: -3.340 eV per atom
formation energy without anion corrections: -0.4472 eV per atom

15.
Entry from Alexandria via LeMat-Bulk: an optimized crystal structure of Pu2InBr8 (GGA-PBE).

```
Pu2InBr8
1.0
8.484 -3.541 0.000
8.484 3.541 0.000
-2.187 0.000 6.357
Pu In Br
2 1 8
Direct
0.226 0.226 0.182
0.774 0.774 0.818
0.500 0.500 0.000
0.080 0.080 0.265
0.108 0.609 0.165
0.309 0.309 0.619
0.391 0.892 0.835
0.609 0.108 0.165
0.691 0.691 0.381
0.892 0.391 0.835
0.920 0.920 0.735
```

Summary:
calculated volume: 34.726 A^3/atom
uncorrected energy: -5.277 eV per atom
formation energy without anion corrections: -1.2054 eV per atom